Sr2YGaNi2O7 | GGA-PBEsol | optimized geometry

Density of states at the Fermi level ... 6.625 states/eV/f.u.
Magnetization ... 0.678 μB/f.u.
Theoretical density ... 5.766 g cm⁻³

Cell lengths 12.2604, 12.2604, 12.2604 Å; angles 35.39, 155.00, 155.35 degrees
Closest atoms and distances in Å follow each position.
Sites, in units of the cell vectors:
Sr1 0.0112 0.1508 0.1620  3 O 2.44-2.58
Sr2 0.0112 0.3492 0.3604  3 O 2.44-2.58
Sr3 0.9888 0.6508 0.6396  3 O 2.44-2.58
Sr4 0.9888 0.8492 0.8380  3 O 2.44-2.58
Y1 0.0000 0.0000 0.0000  8 O 2.32-2.42
Y2 0.0000 0.5000 0.5000  8 O 2.32-2.42
Ga1 0.4781 0.7966 0.1816  4 O 1.84-1.91
Ga2 0.6150 0.2966 0.8184  4 O 1.84-1.91
Ni1 0.4990 0.5680 0.0683  4 O 1.87
Ni2 0.4990 0.9307 0.4310  4 O 1.87
Ni3 0.4998 0.0680 0.5690  4 O 1.87
Ni4 0.4998 0.4307 0.9317  4 O 1.87
O1 0.0096 0.6591 0.8505  2 Ga 1.90-1.91
O2 0.4468 0.1561 0.6427  1 Ga 1.84
O3 0.4468 0.3041 0.7907  1 Ga 1.84
O4 0.4852 0.1792 0.1801  2 Ni 1.87
O5 0.4852 0.8051 0.8060  2 Ni 1.87
O6 0.5135 0.6561 0.2093  1 Ga 1.84
O7 0.5135 0.8041 0.3573  1 Ga 1.84
O8 0.5137 0.3182 0.3189  2 Ni 1.87
O9 0.5137 0.6948 0.6955  2 Ni 1.87
O10 0.8087 0.1591 0.1495  2 Ga 1.90-1.91
O11 0.9993 0.1948 0.6811  2 Ni 1.87
O12 0.9991 0.3051 0.8199  2 Ni 1.87
O13 0.9991 0.6792 0.1940  2 Ni 1.87
O14 0.9993 0.8182 0.3045  2 Ni 1.87

GaNiW2O | GGA-PBEsol | optimized geometry

Density of states at the Fermi level ... 3.117 states/eV/f.u.
Magnetization ... 0.000 μB/f.u.
Theoretical density ... 12.488 g cm⁻³

Cell lengths 3.9310, 3.9310, 4.4066 Å; angles 90.00, 90.00, 90.00 degrees
Closest atoms and distances in Å follow each position.
Sites, in units of the cell vectors:
Ga1 0.0000 0.0000 0.0000  2 O 2.20
Ni1 0.5000 0.5000 0.0000  4 Ga 2.78, 8 W 2.95
W1 0.0000 0.5000 0.5000  2 O 1.97
W2 0.5000 0.0000 0.5000  2 O 1.97
O1 0.0000 0.0000 0.5000  4 W 1.97

Values for calculated total energy, eV/atom, ordered as above
-7.0197 -8.2650
Values for volume, Å³ per cell, ordered as above
324 68